DFT (PBEsol) results for an optimized crystal structure of ScFeP.

Energy relative to the elements: -908 meV/atom
Crystal system: hexagonal

Cell: 3.447 3.799 3.799 Å, 120.00 90.00 90.00°
Site moments in Bohr magnetons follow the coordinates.
Fractional positions:
Fe  0.000  0.000  0.000  1.23
P  0.000  0.333  0.667  0.02
Sc  0.500  0.667  0.333  -0.02

***

DFT (PBEsol) results for an optimized crystal structure of ScFeP2.

Energy relative to the elements: -445 meV/atom
Crystal system: cubic

Cell: 4.259 4.259 4.259 Å, 60.00 60.00 60.00°
Site moments in Bohr magnetons follow the coordinates.
Fractional positions:
Fe  0.000  0.000  0.000  1.55
P  0.250  0.250  0.250  -0.04
P  0.750  0.750  0.750  -0.04
Sc  0.500  0.500  0.500  0.07

***

DFT (PBEsol) results for an optimized crystal structure of ScFeP2.

Energy relative to the elements: -683 meV/atom
Crystal system: orthorhombic

Cell: 3.681 4.369 4.369 Å, 72.88 65.09 65.09°
Site moments in Bohr magnetons follow the coordinates.
Fractional positions:
Fe  0.500  0.000  0.000  0.37
P  0.198  0.802  0.802  0.00
P  0.802  0.198  0.198  0.00
Sc  0.000  0.500  0.500  -0.01

***

DFT (PBEsol) results for an optimized crystal structure of FePSe2.

Energy relative to the elements, uncorrected: 1.9 eV per formula unit
Crystal system: orthorhombic

Cell: 3.448 3.496 6.691 Å, 90.00 90.00 90.00°
Site moments in Bohr magnetons follow the coordinates.
Fractional positions:
Fe  0.500  0.500  0.000  3.08
P  0.000  0.500  0.500  0.03
Se  0.000  0.000  0.000  0.14
Se  0.500  0.000  0.500  0.03

***

DFT (PBEsol) results for an optimized crystal structure of Fe2PSe.

Energy relative to the elements, uncorrected: -0.6 eV per formula unit
Crystal system: tetragonal

Cell: 3.156 3.156 4.964 Å, 90.00 90.00 90.00°
Site moments in Bohr magnetons follow the coordinates.
Fractional positions:
Fe  0.000  0.000  0.970  0.37
Fe  0.500  0.500  0.301  0.90
P  0.000  0.000  0.411  -0.02
Se  0.500  0.500  0.817  -0.02

***

DFT (PBEsol) results for an optimized crystal structure of FePSe2.

Energy relative to the elements, uncorrected: 0.8 eV per formula unit
Crystal system: tetragonal

Cell: 4.416 4.416 4.416 Å, 108.44 109.99 109.99°
Site moments in Bohr magnetons follow the coordinates.
Fractional positions:
Fe  0.000  0.000  0.000  2.42
P  0.000  0.500  0.500  -0.02
Se  0.500  0.500  0.000  0.01
Se  0.500  0.000  0.500  0.01

***

Number 1: M_tot 1.274 μB per formula unit. Number 2: M_tot 1.450 μB per formula unit. Number 3: M_tot 0.365 μB per formula unit. Number 4: M_tot 3.551 μB per formula unit. Number 5: M_tot 1.201 μB per formula unit. Number 6: M_tot 2.481 μB per formula unit.